Entry 1:
# CeMn2GeC, optimized geometry, DFT PBE
data_CeMn2GeC
_cell_length_a 5.753
_cell_length_b 5.753
_cell_length_c 7.170
_cell_angle_alpha 90.00
_cell_angle_beta 90.00
_cell_angle_gamma 141.42
_space_group_name_H-M_alt 'P 1'
_space_group_IT_number 1
_space_group_name_Hall 'P 1'
loop_
_atom_site_label
_atom_site_type_symbol
_atom_site_fract_x
_atom_site_fract_y
_atom_site_fract_z
Ce1 Ce 0.045 0.955 0.750
Ce2 Ce 0.955 0.045 0.250
Mn1 Mn 0.335 0.665 0.561
Mn2 Mn 0.335 0.665 0.939
Mn3 Mn 0.665 0.335 0.061
Mn4 Mn 0.665 0.335 0.439
Ge1 Ge 0.235 0.765 0.250
Ge2 Ge 0.765 0.235 0.750
C1 C 0.500 0.500 0.000
C2 C 0.500 0.500 0.500
# formation energy: -355 meV per atom
# E: -79.78 eV for the cell shown
# SG: Cmcm, No. 63


Entry 2:
# ScHgBi2, optimized geometry, DFT PBE
data_ScHgBi2
_cell_length_a 9.414
_cell_length_b 9.414
_cell_length_c 9.414
_cell_angle_alpha 26.26
_cell_angle_beta 26.26
_cell_angle_gamma 26.26
_space_group_name_H-M_alt 'P 1'
_space_group_IT_number 1
_space_group_name_Hall 'P 1'
loop_
_atom_site_label
_atom_site_type_symbol
_atom_site_fract_x
_atom_site_fract_y
_atom_site_fract_z
Sc1 Sc 0.000 0.000 0.000
Hg1 Hg 0.500 0.500 0.500
Bi1 Bi 0.396 0.396 0.396
Bi2 Bi 0.604 0.604 0.604
# formation energy: -54 meV per atom
# E: -14.61 eV for the cell shown
# SG: R-3m, No. 166


Entry 3:
# LiHf3In, optimized geometry, DFT PBE
data_LiHf3In
_cell_length_a 4.725
_cell_length_b 4.725
_cell_length_c 4.725
_cell_angle_alpha 90.00
_cell_angle_beta 90.00
_cell_angle_gamma 90.00
_space_group_name_H-M_alt 'P 1'
_space_group_IT_number 1
_space_group_name_Hall 'P 1'
loop_
_atom_site_label
_atom_site_type_symbol
_atom_site_fract_x
_atom_site_fract_y
_atom_site_fract_z
Li1 Li 0.000 0.000 0.000
Hf1 Hf 0.000 0.000 0.500
Hf2 Hf 0.000 0.500 0.000
Hf3 Hf 0.500 0.000 0.000
In1 In 0.500 0.500 0.500
# formation energy: 555 meV per atom
# energy above the most stable polymorph in this dataset: 0.00 eV/f.u.
# E: -31.74 eV for the cell shown
# SG: Pm-3m, No. 221


Entry 4:
# Mn2NbPd9, optimized geometry, DFT PBE
data_Mn2NbPd9
_cell_length_a 3.947
_cell_length_b 3.947
_cell_length_c 11.789
_cell_angle_alpha 90.00
_cell_angle_beta 90.00
_cell_angle_gamma 90.00
_space_group_name_H-M_alt 'P 1'
_space_group_IT_number 1
_space_group_name_Hall 'P 1'
loop_
_atom_site_label
_atom_site_type_symbol
_atom_site_fract_x
_atom_site_fract_y
_atom_site_fract_z
Mn1 Mn 0.000 0.000 0.160
Mn2 Mn 0.000 0.000 0.840
Nb1 Nb 0.000 0.000 0.500
Pd1 Pd 0.000 0.500 0.000
Pd2 Pd 0.000 0.500 0.335
Pd3 Pd 0.000 0.500 0.665
Pd4 Pd 0.500 0.000 0.000
Pd5 Pd 0.500 0.000 0.335
Pd6 Pd 0.500 0.000 0.665
Pd7 Pd 0.500 0.500 0.168
Pd8 Pd 0.500 0.500 0.500
Pd9 Pd 0.500 0.500 0.832
# formation energy: -315 meV per atom
# E: -78.92 eV for the cell shown
# SG: P4/mmm, No. 123


Entry 5:
# SbN, optimized geometry, DFT PBE
data_SbN
_cell_length_a 3.517
_cell_length_b 3.517
_cell_length_c 3.517
_cell_angle_alpha 60.00
_cell_angle_beta 60.00
_cell_angle_gamma 60.00
_space_group_name_H-M_alt 'P 1'
_space_group_IT_number 1
_space_group_name_Hall 'P 1'
loop_
_atom_site_label
_atom_site_type_symbol
_atom_site_fract_x
_atom_site_fract_y
_atom_site_fract_z
Sb1 Sb 0.000 0.000 0.000
N1 N 0.500 0.500 0.500
# formation energy from raw total energies: 817 meV/atom
# energy above the most stable polymorph in this dataset: 0.94 eV/f.u.
# E: -10.81 eV for the cell shown
# SG: Fm-3m, No. 225


Entry 6:
# Pm3SmAl8, optimized geometry, DFT PBE
data_Pm3SmAl8
_cell_length_a 9.808
_cell_length_b 9.808
_cell_length_c 9.808
_cell_angle_alpha 33.48
_cell_angle_beta 33.48
_cell_angle_gamma 33.48
_space_group_name_H-M_alt 'P 1'
_space_group_IT_number 1
_space_group_name_Hall 'P 1'
loop_
_atom_site_label
_atom_site_type_symbol
_atom_site_fract_x
_atom_site_fract_y
_atom_site_fract_z
Pm1 Pm 0.000 0.000 0.000
Pm2 Pm 0.125 0.125 0.125
Pm3 Pm 0.500 0.500 0.500
Sm1 Sm 0.625 0.625 0.625
Al1 Al 0.062 0.562 0.562
Al2 Al 0.063 0.063 0.563
Al3 Al 0.063 0.563 0.063
Al4 Al 0.312 0.312 0.312
Al5 Al 0.562 0.062 0.562
Al6 Al 0.562 0.562 0.062
Al7 Al 0.563 0.063 0.063
Al8 Al 0.812 0.812 0.812
# formation energy: -510 meV per atom
# energy above the most stable polymorph in this dataset: 0.00 eV/f.u.
# E: -55.03 eV for the cell shown
# SG: R3m, No. 160


Entry 7:
# MgSi2Ru2, optimized geometry, DFT PBE
data_MgSi2Ru2
_cell_length_a 7.021
_cell_length_b 7.021
_cell_length_c 2.893
_cell_angle_alpha 90.00
_cell_angle_beta 90.00
_cell_angle_gamma 90.00
_space_group_name_H-M_alt 'P 1'
_space_group_IT_number 1
_space_group_name_Hall 'P 1'
loop_
_atom_site_label
_atom_site_type_symbol
_atom_site_fract_x
_atom_site_fract_y
_atom_site_fract_z
Mg1 Mg 0.000 0.000 0.000
Mg2 Mg 0.500 0.500 0.000
Si1 Si 0.147 0.353 0.500
Si2 Si 0.353 0.853 0.500
Si3 Si 0.647 0.147 0.500
Si4 Si 0.853 0.647 0.500
Ru1 Ru 0.147 0.647 0.000
Ru2 Ru 0.353 0.147 0.000
Ru3 Ru 0.647 0.853 0.000
Ru4 Ru 0.853 0.353 0.000
# formation energy from raw total energies: -491 meV/atom
# E: -66.89 eV for the cell shown
# SG: P4/mbm, No. 127


Entry 8:
# Na2Si4Pt3Rh, optimized geometry, DFT PBE
data_Na2Si4Pt3Rh
_cell_length_a 4.069
_cell_length_b 4.069
_cell_length_c 10.238
_cell_angle_alpha 90.00
_cell_angle_beta 90.00
_cell_angle_gamma 90.00
_space_group_name_H-M_alt 'P 1'
_space_group_IT_number 1
_space_group_name_Hall 'P 1'
loop_
_atom_site_label
_atom_site_type_symbol
_atom_site_fract_x
_atom_site_fract_y
_atom_site_fract_z
Na1 Na 0.000 0.500 0.248
Na2 Na 0.500 0.000 0.752
Si1 Si 0.000 0.000 0.500
Si2 Si 0.000 0.500 0.870
Si3 Si 0.500 0.000 0.130
Si4 Si 0.500 0.500 0.500
Pt1 Pt 0.000 0.000 0.000
Pt2 Pt 0.000 0.500 0.632
Pt3 Pt 0.500 0.000 0.368
Rh1 Rh 0.500 0.500 0.000
# formation energy from raw total energies: -663 meV/atom
# E: -56.44 eV for the cell shown
# SG: P-4m2, No. 115


Entry 9:
# LaGa4Ru4, optimized geometry, DFT PBE
data_LaGa4Ru4
_cell_length_a 8.415
_cell_length_b 8.415
_cell_length_c 4.603
_cell_angle_alpha 90.00
_cell_angle_beta 90.00
_cell_angle_gamma 90.00
_space_group_name_H-M_alt 'P 1'
_space_group_IT_number 1
_space_group_name_Hall 'P 1'
loop_
_atom_site_label
_atom_site_type_symbol
_atom_site_fract_x
_atom_site_fract_y
_atom_site_fract_z
La1 La 0.250 0.250 0.250
La2 La 0.750 0.750 0.750
Ga1 Ga 0.025 0.902 0.206
Ga2 Ga 0.098 0.525 0.706
Ga3 Ga 0.402 0.975 0.706
Ga4 Ga 0.475 0.598 0.206
Ga5 Ga 0.525 0.402 0.794
Ga6 Ga 0.598 0.025 0.294
Ga7 Ga 0.902 0.475 0.294
Ga8 Ga 0.975 0.098 0.794
Ru1 Ru 0.135 0.854 0.697
Ru2 Ru 0.146 0.635 0.197
Ru3 Ru 0.354 0.865 0.197
Ru4 Ru 0.365 0.646 0.697
Ru5 Ru 0.635 0.354 0.303
Ru6 Ru 0.646 0.135 0.803
Ru7 Ru 0.854 0.365 0.803
Ru8 Ru 0.865 0.146 0.303
# formation energy: -292 meV per atom
# E: -113.53 eV for the cell shown
# SG: P4_2/n, No. 86


Entry 10:
# BaTi2PtO8, optimized geometry, DFT PBE
data_BaTi2PtO8
_cell_length_a 4.818
_cell_length_b 5.153
_cell_length_c 7.077
_cell_angle_alpha 76.17
_cell_angle_beta 79.25
_cell_angle_gamma 74.91
_space_group_name_H-M_alt 'P 1'
_space_group_IT_number 1
_space_group_name_Hall 'P 1'
loop_
_atom_site_label
_atom_site_type_symbol
_atom_site_fract_x
_atom_site_fract_y
_atom_site_fract_z
Ba1 Ba 0.000 0.000 0.000
Ti1 Ti 0.480 0.464 0.217
Ti2 Ti 0.520 0.536 0.783
Pt1 Pt 0.000 0.000 0.500
O1 O 0.155 0.699 0.721
O2 O 0.205 0.720 0.330
O3 O 0.377 0.124 0.480
O4 O 0.406 0.294 0.026
O5 O 0.594 0.706 0.974
O6 O 0.623 0.876 0.520
O7 O 0.795 0.280 0.670
O8 O 0.845 0.301 0.279
# formation energy from raw total energies: -1999 meV/atom
# E: -87.41 eV for the cell shown
# SG: P-1, No. 2


Entry 11:
# AcCe3Pu2Se6, optimized geometry, DFT PBE
data_AcCe3Pu2Se6
_cell_length_a 7.326
_cell_length_b 7.326
_cell_length_c 7.376
_cell_angle_alpha 99.56
_cell_angle_beta 99.56
_cell_angle_gamma 120.01
_space_group_name_H-M_alt 'P 1'
_space_group_IT_number 1
_space_group_name_Hall 'P 1'
loop_
_atom_site_label
_atom_site_type_symbol
_atom_site_fract_x
_atom_site_fract_y
_atom_site_fract_z
Ac1 Ac 0.000 0.000 0.000
Ce1 Ce 0.162 0.838 0.500
Ce2 Ce 0.500 0.500 0.500
Ce3 Ce 0.838 0.162 0.500
Pu1 Pu 0.333 0.667 0.000
Pu2 Pu 0.667 0.333 0.000
Se1 Se 0.085 0.431 0.253
Se2 Se 0.264 0.264 0.752
Se3 Se 0.431 0.085 0.253
Se4 Se 0.569 0.915 0.747
Se5 Se 0.736 0.736 0.248
Se6 Se 0.915 0.569 0.747
# formation energy from raw total energies: -1715 meV/atom
# E: -92.06 eV for the cell shown
# SG: C2/m, No. 12


Entry 12:
# CsHf3Cl, optimized geometry, DFT PBE
data_CsHf3Cl
_cell_length_a 5.390
_cell_length_b 5.390
_cell_length_c 5.390
_cell_angle_alpha 90.00
_cell_angle_beta 90.00
_cell_angle_gamma 90.00
_space_group_name_H-M_alt 'P 1'
_space_group_IT_number 1
_space_group_name_Hall 'P 1'
loop_
_atom_site_label
_atom_site_type_symbol
_atom_site_fract_x
_atom_site_fract_y
_atom_site_fract_z
Cs1 Cs 0.000 0.000 0.000
Hf1 Hf 0.000 0.000 0.500
Hf2 Hf 0.000 0.500 0.000
Hf3 Hf 0.500 0.000 0.000
Cl1 Cl 0.500 0.500 0.500
# formation energy from raw total energies: 2376 meV/atom
# energy above the most stable polymorph in this dataset: 7.44 eV/f.u.
# E: -20.68 eV for the cell shown
# SG: Pm-3m, No. 221